This record from Alexandria via LeMat-Bulk describes a relaxed MnCdW2 crystal. The functional is PBE.

Cell lengths 2.719, 4.397, 5.585 Å; angles 90.00, 101.46, 90.00 degrees
Space group Pm (No. 6)
Unique sites:
Mn: 0.000 0.000 0.000
Cd: 0.217 0.500 0.742
W: 0.555 0.000 0.462
W: 0.768 0.500 0.231

Computed properties:
Total moment, μB/atom: 0.6735
E_form, kJ/mol of formula units: 179
DOS(E_F), states/eV/cell: 2.89
Crystal system: monoclinic